# PrSc2Au

PrSc2Au after structural relaxation (GGA-PBE, the Alexandria database).

```
PrSc2Au
1.0
-1.6303 2.6125 -1.6537
-2.7237 -0.3287 2.1659
3.3743 5.3009 5.0476
Pr Au Sc
1 1 2
direct
0.5000 0.5000 0.5000
0.5000 0.5000 0.0000
0.0000 0.0000 0.8032
0.0000 0.0000 0.1968
```

Properties
Spin magnetization, Bohr magnetons per cell: 0.00
Energy relative to the elements, eV/atom: -0.37
Energy above the lowest structure with this stoichiometry, kcal/mol of atoms: 0.00